# 1
VASP calculation (GGA-PBE) on an optimized crystal structure of Ba2CuPtI.

The structure in POSCAR format:
```
Ba2CuPtI
1.0
6.1552 0.0000 0.0000
0.0000 6.1552 0.0000
0.0000 0.0000 4.8472
Ba Cu Pt I
2 1 1 1
Direct
0.0000 0.5000 0.0000 Ba
0.5000 0.0000 0.0000 Ba
0.0000 0.0000 0.5000 Cu
0.0000 0.0000 0.0000 Pt
0.5000 0.5000 0.5000 I
```

Total magnetization: 0.00 μB/atom
Fermi-level density of states: 2.7 states/eV/cell
Space group: No. 123
Calculated total energy: -3.81 eV/atom

# 2
VASP calculation (GGA-PBE) on an optimized crystal structure of Ba4CuPtI2.

The structure in POSCAR format:
```
Ba4CuPtI2
1.0
8.0519 0.0000 0.0000
0.0000 4.6636 0.0000
-2.6950 0.0000 8.7969
Ba Cu Pt I
4 1 1 2
Direct
0.2263 0.0000 0.2013 Ba
0.2573 0.5000 0.7958 Ba
0.7427 0.5000 0.2042 Ba
0.7737 0.0000 0.7987 Ba
0.5000 0.0000 0.0000 Cu
0.0000 0.5000 0.0000 Pt
0.0000 0.0000 0.5000 I
0.5000 0.5000 0.5000 I
```

Total magnetization: 0.00 μB/atom
Fermi-level density of states: 6.2 states/eV/cell
Space group: No. 10
Calculated total energy: -3.52 eV/atom

# 3
VASP calculation (GGA-PBE) on an optimized crystal structure of Ba8CuPt3I4.

The structure in POSCAR format:
```
Ba8CuPt3I4
1.0
8.0364 -4.6408 0.0000
8.0364 4.6408 0.0000
-5.3570 0.0000 8.7777
Ba Cu Pt I
8 1 3 4
Direct
0.2268 0.7381 0.7019 Ba
0.2334 0.2334 0.6993 Ba
0.2615 0.2615 0.2981 Ba
0.2619 0.7732 0.2981 Ba
0.7381 0.2268 0.7019 Ba
0.7385 0.7385 0.7019 Ba
0.7666 0.7666 0.3007 Ba
0.7732 0.2619 0.2981 Ba
0.5000 0.5000 0.5000 Cu
0.0000 0.0000 0.5000 Pt
0.0000 0.5000 0.5000 Pt
0.5000 0.0000 0.5000 Pt
0.0000 0.0000 0.0000 I
0.0000 0.5000 0.0000 I
0.5000 0.0000 0.0000 I
0.5000 0.5000 0.0000 I
```

Total magnetization: 0.00 μB/atom
Fermi-level density of states: 11.5 states/eV/cell
Space group: No. 12
Calculated total energy: -3.78 eV/atom

# 4
VASP calculation (GGA-PBE) on an optimized crystal structure of RbBa3Cu4I12.

The structure in POSCAR format:
```
RbBa3Cu4I12
1.0
8.2853 4.7835 4.4122
-8.2853 4.7835 4.4122
0.0000 -9.5671 4.4122
Rb Ba Cu I
1 3 4 12
Direct
0.0000 0.0000 0.0000 Rb
0.0000 0.5407 0.4593 Ba
0.4593 0.0000 0.5407 Ba
0.5407 0.4593 0.0000 Ba
0.0521 0.5000 0.9479 Cu
0.5000 0.5000 0.5000 Cu
0.5000 0.9479 0.0521 Cu
0.9479 0.0521 0.5000 Cu
0.0163 0.6517 0.8002 I
0.1040 0.8960 0.5000 I
0.1998 0.3483 0.9837 I
0.3482 0.6518 0.5000 I
0.3483 0.9837 0.1998 I
0.5000 0.1040 0.8960 I
0.5000 0.3482 0.6518 I
0.6518 0.5000 0.3482 I
0.6517 0.8002 0.0163 I
0.8002 0.0163 0.6517 I
0.8960 0.5000 0.1040 I
0.9837 0.1998 0.3483 I
```

Total magnetization: 0.06 μB/atom
Fermi-level density of states: 14.2 states/eV/cell
Space group: No. 155
Calculated total energy: -3.03 eV/atom

# 5
VASP calculation (GGA-PBE) on an optimized crystal structure of BaCuReI2.

The structure in POSCAR format:
```
BaCuReI2
1.0
5.2636 0.0000 0.0000
0.0000 5.2636 0.0000
0.0000 0.0000 6.6465
Ba Cu Re I
1 1 1 2
Direct
0.0000 0.0000 0.0000 Ba
0.5000 0.5000 0.0000 Cu
0.0000 0.0000 0.5000 Re
0.0000 0.5000 0.5000 I
0.5000 0.0000 0.5000 I
```

Total magnetization: 0.22 μB/atom
Fermi-level density of states: 3.5 states/eV/cell
Space group: No. 123
Calculated total energy: -3.61 eV/atom

# 6
VASP calculation (GGA-PBE) on an optimized crystal structure of Ba6CuRh2I3.

The structure in POSCAR format:
```
Ba6CuRh2I3
1.0
4.0223 -6.9645 0.0000
4.0223 6.9645 0.0000
-2.6813 0.0000 8.6864
Ba Cu Rh I
6 1 2 3
Direct
0.0789 0.4328 0.7980 Ba
0.2134 0.2134 0.2003 Ba
0.4328 0.0789 0.7980 Ba
0.5672 0.9211 0.2020 Ba
0.7866 0.7866 0.7997 Ba
0.9211 0.5672 0.2020 Ba
0.5000 0.5000 0.0000 Cu
0.1670 0.8330 0.0000 Rh
0.8330 0.1670 0.0000 Rh
0.0000 0.0000 0.5000 I
0.3367 0.6633 0.5000 I
0.6633 0.3367 0.5000 I
```

Total magnetization: 0.00 μB/atom
Fermi-level density of states: 7.4 states/eV/cell
Space group: No. 12
Calculated total energy: -3.68 eV/atom

# 7
VASP calculation (GGA-PBE) on an optimized crystal structure of Ba2CuRhI.

The structure in POSCAR format:
```
Ba2CuRhI
1.0
6.0020 0.0000 0.0000
0.0000 6.0020 0.0000
0.0000 0.0000 4.8326
Ba Cu Rh I
2 1 1 1
Direct
0.0000 0.5000 0.0000 Ba
0.5000 0.0000 0.0000 Ba
0.0000 0.0000 0.5000 Cu
0.0000 0.0000 0.0000 Rh
0.5000 0.5000 0.5000 I
```

Total magnetization: 0.00 μB/atom
Fermi-level density of states: 2.1 states/eV/cell
Space group: No. 123
Calculated total energy: -3.86 eV/atom

# 8
VASP calculation (GGA-PBE) on an optimized crystal structure of Ba8CuSb3I4.

The structure in POSCAR format:
```
Ba8CuSb3I4
1.0
5.0114 2.8933 8.4487
-5.0114 2.8933 8.4487
0.0000 -5.7867 8.4487
Ba Cu Sb I
8 1 3 4
Direct
0.2395 0.2395 0.2395 Ba
0.2427 0.7374 0.7374 Ba
0.2626 0.2626 0.7573 Ba
0.2626 0.7573 0.2626 Ba
0.7374 0.2427 0.7374 Ba
0.7374 0.7374 0.2427 Ba
0.7573 0.2626 0.2626 Ba
0.7605 0.7605 0.7605 Ba
0.5000 0.5000 0.5000 Cu
0.0000 0.0000 0.5000 Sb
0.0000 0.5000 0.0000 Sb
0.5000 0.0000 0.0000 Sb
0.0000 0.0000 0.0000 I
0.0000 0.5000 0.5000 I
0.5000 0.0000 0.5000 I
0.5000 0.5000 0.0000 I
```

Total magnetization: 0.12 μB/atom
Fermi-level density of states: 6.9 states/eV/cell
Space group: No. 166
Calculated total energy: -3.56 eV/atom

# 9
VASP calculation (GGA-PBE) on an optimized crystal structure of BaCuSb2I.

The structure in POSCAR format:
```
BaCuSb2I
1.0
6.6677 0.0000 0.0000
0.0000 6.6677 0.0000
0.0000 0.0000 6.5292
Ba Cu Sb I
1 1 2 1
Direct
0.0000 0.0000 0.0000 Ba
0.5000 0.5000 0.5000 Cu
0.0000 0.5000 0.0000 Sb
0.5000 0.0000 0.0000 Sb
0.0000 0.0000 0.5000 I
```

Total magnetization: 0.43 μB/atom
Fermi-level density of states: 4.9 states/eV/cell
Space group: No. 123
Calculated total energy: -2.31 eV/atom

# 10
VASP calculation (GGA-PBE) on an optimized crystal structure of BaCuSb2I.

The structure in POSCAR format:
```
BaCuSb2I
1.0
5.0310 0.0000 0.0000
0.0000 5.0310 0.0000
0.0000 0.0000 6.7738
Ba Cu Sb I
1 1 2 1
Direct
0.0000 0.0000 0.0000 Ba
0.5000 0.5000 0.5000 Cu
0.0000 0.5000 0.5000 Sb
0.5000 0.0000 0.5000 Sb
0.5000 0.5000 0.0000 I
```

Total magnetization: 0.00 μB/atom
Fermi-level density of states: 6.5 states/eV/cell
Space group: No. 123
Calculated total energy: -3.50 eV/atom

# 11
VASP calculation (GGA-PBE) on an optimized crystal structure of BaScCu2I8.

The structure in POSCAR format:
```
BaScCu2I8
1.0
5.9329 -4.1020 0.0000
5.9329 4.1020 0.0000
-0.1462 0.0000 9.9873
Ba Sc Cu I
1 1 2 8
Direct
0.0000 0.0000 0.0000 Ba
0.0000 0.0000 0.5000 Sc
0.3538 0.3538 0.7280 Cu
0.6462 0.6462 0.2720 Cu
0.2413 0.2413 0.5065 I
0.2487 0.7514 0.2905 I
0.2486 0.7513 0.7095 I
0.2921 0.2921 0.9709 I
0.7079 0.7079 0.0291 I
0.7514 0.2487 0.2905 I
0.7513 0.2486 0.7095 I
0.7587 0.7587 0.4935 I
```

Total magnetization: 0.00 μB/atom
Fermi-level density of states: 15.9 states/eV/cell
Space group: No. 12
Calculated total energy: -3.25 eV/atom

# 12
VASP calculation (GGA-PBE) on an optimized crystal structure of Ba2CuSiI.

The structure in POSCAR format:
```
Ba2CuSiI
1.0
6.3180 0.0000 0.0000
0.0000 6.3180 0.0000
0.0000 0.0000 4.3888
Ba Cu Si I
2 1 1 1
Direct
0.0000 0.5000 0.0000 Ba
0.5000 0.0000 0.0000 Ba
0.0000 0.0000 0.0000 Cu
0.0000 0.0000 0.5000 Si
0.5000 0.5000 0.5000 I
```

Total magnetization: 0.00 μB/atom
Fermi-level density of states: 1.9 states/eV/cell
Space group: No. 123
Calculated total energy: -3.60 eV/atom